Entry from the Alexandria database: a geometry-optimized BaNaSbWO6 structure (PBE with a Hubbard U).

The space group is F-43m (No. 216) and the conventional cell measures 8.4565, 8.4565 and 8.4565 Å, with angles of 90.00, 90.00 and 90.00 degrees. The asymmetric unit holds Ba at (0.0000, 0.0000, 0.0000), Na at (0.0000, 0.0000, 0.5000), Sb at (0.2500, 0.2500, 0.2500), W at (0.2500, 0.2500, 0.7500) and O at (0.0186, 0.2500, 0.7500).

The value obtained for the total energy is -255.9 eV/cell. The calculation puts the density of states at the Fermi level at 0.0 states/eV per cell. The magnetic moment comes out at 0.00 μB per cell.